No. 1
The following is a DFT calculation (PBE) of a geometry-optimized MnTlCd2 structure.

POSCAR file:
```
MnTlCd2
1.0
0.000 3.557 3.557
3.557 0.000 3.557
3.557 3.557 0.000
Mn Tl Cd
1 1 2
Direct
0.000 0.000 0.000 Mn
0.500 0.500 0.500 Tl
0.250 0.250 0.250 Cd
0.750 0.750 0.750 Cd
```

Results
SG: Fm-3m (225)
Final energy, eV per cell: -11.878
Calculated volume, Å³/f.u.: 90.0
Energy relative to the elements, meV/atom: 372
Energy above the lowest structure with this stoichiometry, eV/atom: 0.158

***

No. 2
The following is a DFT calculation (PBE) of a geometry-optimized RbGeTe3 structure.

POSCAR file:
```
RbGeTe3
1.0
10.165 0.000 0.000
0.000 7.994 0.000
-9.606 0.000 10.149
Rb Ge Te
4 4 12
Direct
0.232 0.230 0.337 Rb
0.232 0.270 0.837 Rb
0.768 0.730 0.163 Rb
0.768 0.770 0.663 Rb
0.143 0.668 0.101 Ge
0.143 0.832 0.601 Ge
0.857 0.168 0.399 Ge
0.857 0.332 0.899 Ge
0.218 0.145 0.585 Te
0.218 0.355 0.085 Te
0.273 0.745 0.839 Te
0.273 0.755 0.339 Te
0.274 0.621 0.539 Te
0.274 0.879 0.039 Te
0.726 0.121 0.961 Te
0.726 0.379 0.461 Te
0.727 0.245 0.661 Te
0.727 0.255 0.161 Te
0.782 0.645 0.915 Te
0.782 0.855 0.415 Te
```

Results
Uncorrected formation energy, eV per formula unit: -1.844
SG: P2_1/c (14)
Final energy, eV per cell: -67.415
Calculated volume, Å³/f.u.: 206.2

***

No. 3
The following is a DFT calculation (PBE) of a geometry-optimized LaHN2 structure.

POSCAR file:
```
LaHN2
1.0
1.982 1.144 4.608
-1.982 1.144 4.608
0.000 -2.288 4.608
La H N
1 1 2
Direct
0.000 0.000 0.000 La
0.500 0.500 0.500 H
0.410 0.410 0.410 N
0.590 0.590 0.590 N
```

Results
SG: R-3m (166)
Final energy, eV per cell: -24.978
Calculated volume, Å³/f.u.: 62.7
Energy above the lowest structure with this stoichiometry, eV/atom: 0.000

***

No. 4
The following is a DFT calculation (PBE) of a geometry-optimized Ac8Pt6Br structure.

POSCAR file:
```
Ac8Pt6Br
1.0
11.596 0.000 0.000
-5.798 10.042 0.000
0.000 0.000 4.591
Ac Pt Br
8 6 1
Direct
0.030 0.357 0.245 Ac
0.327 0.970 0.245 Ac
0.333 0.667 0.753 Ac
0.357 0.327 0.755 Ac
0.643 0.673 0.245 Ac
0.667 0.333 0.247 Ac
0.673 0.030 0.755 Ac
0.970 0.643 0.755 Ac
0.149 0.665 0.254 Pt
0.335 0.484 0.254 Pt
0.484 0.149 0.746 Pt
0.516 0.851 0.254 Pt
0.665 0.516 0.746 Pt
0.851 0.335 0.746 Pt
0.000 0.000 0.000 Br
```

Results
Uncorrected formation energy, eV per formula unit: -16.017
SG: P-3 (147)
Final energy, eV per cell: -86.802
Calculated volume, Å³/f.u.: 534.7

***

No. 5
The following is a DFT calculation (PBE) of a geometry-optimized KAc2Co structure.

POSCAR file:
```
KAc2Co
1.0
3.699 -2.134 0.000
3.699 2.134 0.000
-0.052 0.000 10.756
K Ac Co
1 2 1
Direct
0.000 0.000 0.000 K
0.332 0.332 0.359 Ac
0.668 0.668 0.641 Ac
0.000 0.000 0.500 Co
```

Results
SG: C2/m (12)
Final energy, eV per cell: -16.430
Calculated volume, Å³/f.u.: 169.8
Energy relative to the elements, meV/atom: -3
Energy above the lowest structure with this stoichiometry, eV/atom: 0.000

***

No. 6
The following is a DFT calculation (PBE) of a geometry-optimized TaMnPt structure.

POSCAR file:
```
TaMnPt
1.0
4.428 0.000 0.000
-2.214 3.835 0.000
0.000 0.000 2.754
Ta Mn Pt
1 1 1
Direct
0.000 0.000 0.000 Ta
0.667 0.333 0.331 Mn
0.333 0.667 0.616 Pt
```

Results
SG: P3m1 (156)
Final energy, eV per cell: -27.631
Calculated volume, Å³/f.u.: 46.8
Energy relative to the elements, meV/atom: -189
Energy above the lowest structure with this stoichiometry, eV/atom: 0.164

***

No. 7
The following is a DFT calculation (PBE) of a geometry-optimized VSn structure.

POSCAR file:
```
VSn
1.0
9.937 0.000 0.000
0.000 9.937 0.000
0.000 0.000 3.114
V Sn
8 8
Direct
0.017 0.644 0.000 V
0.143 0.469 0.500 V
0.356 0.017 0.000 V
0.469 0.857 0.500 V
0.531 0.143 0.500 V
0.644 0.983 0.000 V
0.857 0.531 0.500 V
0.983 0.356 0.000 V
0.142 0.166 0.500 Sn
0.166 0.858 0.500 Sn
0.326 0.634 0.000 Sn
0.366 0.326 0.000 Sn
0.634 0.674 0.000 Sn
0.674 0.366 0.000 Sn
0.834 0.142 0.500 Sn
0.858 0.834 0.500 Sn
```

Results
SG: P4/m (83)
Final energy, eV per cell: -102.632
Calculated volume, Å³/f.u.: 38.4
Energy relative to the elements, meV/atom: 146

***

No. 8
The following is a DFT calculation (PBE) of a geometry-optimized Tb4TlCd structure.

POSCAR file:
```
Tb4TlCd
1.0
3.618 0.000 0.000
0.000 3.618 0.000
0.000 0.000 13.294
Tb Tl Cd
4 1 1
Direct
0.000 0.000 0.153 Tb
0.000 0.000 0.847 Tb
0.500 0.500 0.340 Tb
0.500 0.500 0.660 Tb
0.000 0.000 0.500 Tl
0.500 0.500 0.000 Cd
```

Results
SG: P4/mmm (123)
Final energy, eV per cell: -23.060
Calculated volume, Å³/f.u.: 174.0
Energy relative to the elements, meV/atom: -210
Energy above the lowest structure with this stoichiometry, eV/atom: 0.000

***

No. 9
The following is a DFT calculation (PBE) of a geometry-optimized NaMoRh2 structure.

POSCAR file:
```
NaMoRh2
1.0
0.000 3.127 3.127
3.127 0.000 3.127
3.127 3.127 0.000
Na Mo Rh
1 1 2
Direct
0.000 0.000 0.000 Na
0.500 0.500 0.500 Mo
0.250 0.250 0.250 Rh
0.750 0.750 0.750 Rh
```

Results
SG: Fm-3m (225)
Final energy, eV per cell: -25.636
Calculated volume, Å³/f.u.: 61.1
Energy relative to the elements, meV/atom: 304
Energy above the lowest structure with this stoichiometry, eV/atom: 0.000

***

no.,total moment (μB per atom)
1,1.00
2,0.00
3,0.50
4,0.00
5,0.00
6,1.08
7,0.00
8,0.00
9,0.00